--- one ---
Entry from the Alexandria database: an optimized crystal structure of PmZrCo2 (PBE-GGA).

Lattice parameters (Å, degrees): 4.2970 4.2970 14.4691 90.00 90.00 120.00
Space group R-3m (No. 166, hexagonal axes)
Inequivalent atoms, fractional coordinates:
Pm1 0.0000 0.0000 0.0000
Zr1 0.0000 0.0000 0.5000
Co1 0.0000 0.0000 0.2129

Computed properties:
* M_tot: 0.0 μB/f.u.

=====

--- two ---
Entry from the Alexandria database: an optimized crystal structure of PmZrCo2 (PBE-GGA).

Lattice parameters (Å, degrees): 3.260 3.260 6.807 90.00 90.00 90.00
Space group P4/mmm (No. 123)
Inequivalent atoms, fractional coordinates:
Pm1 0.000 0.000 0.000
Zr1 0.000 0.000 0.500
Co1 0.500 0.500 0.288

Computed properties:
* M_tot: 0.6 μB/f.u.

=====

--- three ---
Entry from the Alexandria database: an optimized crystal structure of PmZrCo2 (PBE-GGA).

Lattice parameters (Å, degrees): 6.638 6.638 6.638 90.00 90.00 90.00
Space group Fm-3m (No. 225)
Inequivalent atoms, fractional coordinates:
Pm1 0.000 0.000 0.000
Zr1 0.000 0.000 0.500
Co1 0.250 0.250 0.250

Computed properties:
* M_tot: 1.3 μB/f.u.

=====

Relative to the most stable one, in meV per atom, the structures come out at one 91; two 0; three 99.

=====

--- one ---
Entry from the Alexandria database: an optimized crystal structure of PmZr2Co (PBE-GGA).

Lattice parameters (Å, degrees): 3.282 3.282 8.079 90.00 90.00 90.00
Space group P4/mmm (No. 123)
Inequivalent atoms, fractional coordinates:
Pm1 0.000 0.000 0.000
Zr1 0.500 0.500 0.315
Co1 0.000 0.000 0.500

Computed properties:
* M_tot: 0.0 μB/f.u.

=====

--- two ---
Entry from the Alexandria database: an optimized crystal structure of PmZr2Co (PBE-GGA).

Lattice parameters (Å, degrees): 4.0936 4.0936 19.6554 90.00 90.00 120.00
Space group R3m (No. 160, hexagonal axes)
Inequivalent atoms, fractional coordinates:
Pm1 0.0000 0.0000 0.0000
Zr1 0.0000 0.0000 0.2149
Zr2 0.0000 0.0000 0.4449
Co1 0.0000 0.0000 0.8242

Computed properties:
* M_tot: 0.0 μB/f.u.

=====

Relative to the most stable one, in meV per atom, the structures come out at one 0; two 40.

=====

--- one ---
Entry from the Alexandria database: an optimized crystal structure of Pr3Co2 (PBE-GGA).

Lattice parameters (Å, degrees): 4.018 15.368 4.146 90.00 90.00 90.00
Space group Cmmm (No. 65)
Inequivalent atoms, fractional coordinates:
Pr1 0.000 0.000 0.000
Pr2 0.000 0.351 0.500
Co1 0.000 0.215 0.000

Computed properties:
* M_tot: 1.0 μB/f.u.

=====

--- two ---
Entry from the Alexandria database: an optimized crystal structure of Pr3Co2 (PBE-GGA).

Lattice parameters (Å, degrees): 6.9542 6.9542 18.8760 90.00 90.00 120.00
Space group R-3c (No. 167, hexagonal axes)
Inequivalent atoms, fractional coordinates:
Pr1 0.0000 0.3471 0.2500
Co1 0.0000 0.0000 0.1781

Computed properties:
* M_tot: 0.0 μB/f.u.

=====

Relative to the most stable one, in meV per atom, the structures come out at one 0; two 23.

=====

--- one ---
Entry from the Alexandria database: an optimized crystal structure of PrCo5 (PBE-GGA).

Lattice parameters (Å, degrees): 5.0360 5.0360 3.9389 90.00 90.00 120.00
Space group P6/mmm (No. 191)
Inequivalent atoms, fractional coordinates:
Pr1 0.0000 0.0000 0.0000
Co1 0.0000 0.5000 0.5000
Co2 0.3333 0.6667 0.0000

Computed properties:
* M_tot: 6.9 μB/f.u.

=====

--- two ---
Entry from the Alexandria database: an optimized crystal structure of PrCo5 (PBE-GGA).

Lattice parameters (Å, degrees): 3.835 11.532 3.850 90.00 90.00 90.00
Space group Cmmm (No. 65)
Inequivalent atoms, fractional coordinates:
Pr1 0.000 0.000 0.000
Co1 0.000 0.190 0.500
Co2 0.000 0.310 0.000
Co3 0.000 0.500 0.500

Computed properties:
* M_tot: 6.7 μB/f.u.

=====

Relative to the most stable one, in meV per atom, the structures come out at one 0; two 252.

=====

--- one ---
Entry from the Alexandria database: an optimized crystal structure of PrPu2Co (PBE-GGA).

Lattice parameters (Å, degrees): 3.5707 3.5707 29.4535 90.00 90.00 120.00
Space group R-3m (No. 166, hexagonal axes)
Inequivalent atoms, fractional coordinates:
Pr1 0.0000 0.0000 0.0000
Pu1 0.0000 0.0000 0.1110
Co1 0.0000 0.0000 0.5000

Computed properties:
* M_tot: 10.9 μB/f.u.

=====

--- two ---
Entry from the Alexandria database: an optimized crystal structure of PrPu2Co (PBE-GGA).

Lattice parameters (Å, degrees): 3.432 3.432 8.329 90.00 90.00 90.00
Space group P4/mmm (No. 123)
Inequivalent atoms, fractional coordinates:
Pr1 0.000 0.000 0.000
Pu1 0.500 0.500 0.317
Co1 0.000 0.000 0.500

Computed properties:
* M_tot: 10.2 μB/f.u.

=====

Relative to the most stable one, in meV per atom, the structures come out at one 148; two 0.

=====

--- one ---
Entry from the Alexandria database: an optimized crystal structure of PrPuCo (PBE-GGA).

Lattice parameters (Å, degrees): 6.346 14.183 6.326 90.00 90.00 90.00
Space group Cmce (No. 64)
Inequivalent atoms, fractional coordinates:
Pr1 0.000 0.192 0.002
Pu1 0.250 0.001 0.750
Co1 0.000 0.108 0.499

Computed properties:
* M_tot: 4.8 μB/f.u.

=====

--- two ---
Entry from the Alexandria database: an optimized crystal structure of PrPuCo (PBE-GGA).

Lattice parameters (Å, degrees): 3.501 3.501 11.381 90.00 90.00 90.00
Space group I4mm (No. 107)
Inequivalent atoms, fractional coordinates:
Pr1 0.000 0.000 0.000
Pu1 0.000 0.000 0.280
Co1 0.000 0.000 0.691

Computed properties:
* M_tot: 4.5 μB/f.u.

=====

Relative to the most stable one, in meV per atom, the structures come out at one 0; two 51.

=====

--- one ---
Entry from the Alexandria database: an optimized crystal structure of PrCoRu (PBE-GGA).

Lattice parameters (Å, degrees): 10.393 4.208 7.258 90.00 133.63 90.00
Space group C2/m (No. 12)
Inequivalent atoms, fractional coordinates:
Pr1 0.058 0.000 0.312
Co1 0.171 0.500 0.736
Ru1 0.168 0.500 0.090

Computed properties:
* M_tot: 1.7 μB/f.u.

=====

--- two ---
Entry from the Alexandria database: an optimized crystal structure of PrCoRu (PBE-GGA).

Lattice parameters (Å, degrees): 4.0755 4.0755 4.2753 90.00 90.00 120.00
Space group P-6m2 (No. 187)
Inequivalent atoms, fractional coordinates:
Pr1 0.0000 0.0000 0.0000
Co1 0.3333 0.6667 0.5000
Ru1 0.6667 0.3333 0.5000

Computed properties:
* M_tot: 1.7 μB/f.u.

=====

Relative to the most stable one, in meV per atom, the structures come out at one 67; two 0.

=====

--- one ---
Entry from the Alexandria database: an optimized crystal structure of Pr5CoSb2 (PBE-GGA).

Lattice parameters (Å, degrees): 5.944 9.981 16.276 90.00 90.00 90.00
Space group Cmcm (No. 63)
Inequivalent atoms, fractional coordinates:
Pr1 0.000 0.081 0.111
Pr2 0.000 0.255 0.750
Pr3 0.000 0.412 0.119
Co1 0.000 0.231 0.250
Sb1 0.000 0.255 0.559

Computed properties:
* M_tot: 0.0 μB/f.u.

=====

--- two ---
Entry from the Alexandria database: an optimized crystal structure of Pr5CoSb2 (PBE-GGA).

Lattice parameters (Å, degrees): 12.611 9.185 8.300 90.00 90.00 90.00
Space group Pnma (No. 62)
Inequivalent atoms, fractional coordinates:
Pr1 0.000 0.250 0.000
Pr2 0.061 0.000 0.312
Pr3 0.196 0.250 0.630
Pr4 0.196 0.750 0.631
Co1 0.000 0.250 0.499
Sb1 0.175 0.000 0.919

Computed properties:
* M_tot: 0.0 μB/f.u.

=====

Relative to the most stable one, in meV per atom, the structures come out at one 308; two 0.